Density functional theory data (PBE-GGA) for a relaxed structure of PmSe2.

a = 9.025 Å, b = 9.025 Å, c = 9.025 Å
α = 60.00°, β = 60.00°, γ = 60.00°
Site moments in Bohr magnetons follow the coordinates.
Fractional positions:
Pm: 0.500 0.500 0.500  -0.04
Pm: 0.250 0.250 0.250  -0.04
Se: 0.375 0.375 0.875  0.34
Se: 0.875 0.375 0.375  0.21
Se: 0.375 0.875 0.375  0.31
Se: 0.375 0.375 0.375  0.32

Values from the calculation:
Its total energy is -28.4 eV for the cell shown. The crystal system is cubic. Its space group is Fd-3m, No. 227.